Model 1:
A relaxed structure of CaCdP2S. Source: Alexandria via LeMat-Bulk, functional PBE.

Unit cell a=5.2737 b=5.2737 c=5.1072 alpha=90.00 beta=90.00 gamma=90.00
Positions (direct):
1 Ca 0.0000 0.0000 0.0000
2 Cd 0.5000 0.5000 0.5000
3 P 0.0000 0.5000 0.0000
4 P 0.5000 0.0000 0.0000
5 S 0.0000 0.0000 0.5000

DOS(E_F) ... 0.94 states/eV per atom
M_tot ... 0.92 μB per cell



Model 2:
A relaxed structure of CaCdP2S. Source: Alexandria via LeMat-Bulk, functional PBE.

Unit cell a=4.9231 b=4.9231 c=5.1789 alpha=90.00 beta=90.00 gamma=90.00
Positions (direct):
1 Ca 0.0000 0.0000 0.0000
2 Cd 0.5000 0.5000 0.5000
3 P 0.0000 0.5000 0.5000
4 P 0.5000 0.0000 0.5000
5 S 0.5000 0.5000 0.0000

DOS(E_F) ... 1.31 states/eV per atom
M_tot ... 0.12 μB per cell



Quick one: most stable of them? model 2



Model 1:
A relaxed structure of Ca2Cd2Pb. Source: Alexandria via LeMat-Bulk, functional PBE.

Unit cell a=3.9972 b=3.9972 c=19.3757 alpha=90.00 beta=90.00 gamma=90.00
Positions (direct):
1 Ca 0.0000 0.0000 0.1023
2 Ca 0.0000 0.0000 0.8977
3 Ca 0.5000 0.5000 0.3977
4 Ca 0.5000 0.5000 0.6023
5 Cd 0.0000 0.5000 0.2500
6 Cd 0.0000 0.5000 0.7500
7 Cd 0.5000 0.0000 0.2500
8 Cd 0.5000 0.0000 0.7500
9 Pb 0.0000 0.0000 0.5000
10 Pb 0.5000 0.5000 0.0000

DOS(E_F) ... 0.71 states/eV per atom
M_tot ... 0.00 μB per cell



Model 2:
A relaxed structure of Ca2Cd2Pb. Source: Alexandria via LeMat-Bulk, functional PBE.

Unit cell a=8.2637 b=8.2637 c=4.2634 alpha=90.00 beta=90.00 gamma=90.00
Positions (direct):
1 Ca 0.1734 0.3266 0.0000
2 Ca 0.3266 0.8266 0.0000
3 Ca 0.6734 0.1734 0.0000
4 Ca 0.8266 0.6734 0.0000
5 Cd 0.1242 0.6242 0.5000
6 Cd 0.3758 0.1242 0.5000
7 Cd 0.6242 0.8758 0.5000
8 Cd 0.8758 0.3758 0.5000
9 Pb 0.0000 0.0000 0.5000
10 Pb 0.5000 0.5000 0.5000

DOS(E_F) ... 0.58 states/eV per atom
M_tot ... 0.00 μB per cell



Quick one: most stable of them? model 2



Model 1:
A relaxed structure of Ca2Cd2Pb. Source: Alexandria via LeMat-Bulk, functional PBE.

Unit cell a=4.8877 b=3.6960 c=8.1297 alpha=90.00 beta=107.42 gamma=90.00
Positions (direct):
1 Ca 0.1137 0.0000 0.2280
2 Ca 0.8863 0.0000 0.7720
3 Cd 0.2973 0.5000 0.5944
4 Cd 0.7027 0.5000 0.4056
5 Pb 0.5000 0.5000 0.0000

DOS(E_F) ... 0.44 states/eV per atom
M_tot ... 0.00 μB per cell



Model 2:
A relaxed structure of Ca2Cd2Pb. Source: Alexandria via LeMat-Bulk, functional PBE.

Unit cell a=8.8041 b=8.8041 c=3.9045 alpha=90.00 beta=90.00 gamma=90.00
Positions (direct):
1 Ca 0.1598 0.3402 0.0000
2 Ca 0.3402 0.8402 0.0000
3 Ca 0.6598 0.1598 0.0000
4 Ca 0.8402 0.6598 0.0000
5 Cd 0.1352 0.6352 0.5000
6 Cd 0.3648 0.1352 0.5000
7 Cd 0.6352 0.8648 0.5000
8 Cd 0.8648 0.3648 0.5000
9 Pb 0.0000 0.0000 0.0000
10 Pb 0.5000 0.5000 0.0000

DOS(E_F) ... 0.77 states/eV per atom
M_tot ... 0.00 μB per cell



Quick one: most stable of them? model 1



Model 1:
A relaxed structure of Ca2Cd2Pb. Source: Alexandria via LeMat-Bulk, functional PBE.

Unit cell a=4.9871 b=4.9871 c=12.8946 alpha=90.00 beta=90.00 gamma=90.00
Positions (direct):
1 Ca 0.0000 0.5000 0.2500
2 Ca 0.0000 0.5000 0.7500
3 Ca 0.5000 0.0000 0.2500
4 Ca 0.5000 0.0000 0.7500
5 Cd 0.0000 0.0000 0.1040
6 Cd 0.0000 0.0000 0.8960
7 Cd 0.5000 0.5000 0.3960
8 Cd 0.5000 0.5000 0.6040
9 Pb 0.0000 0.0000 0.5000
10 Pb 0.5000 0.5000 0.0000

DOS(E_F) ... 0.66 states/eV per atom
M_tot ... 0.00 μB per cell



Model 2:
A relaxed structure of Ca2Cd2Pb. Source: Alexandria via LeMat-Bulk, functional PBE.

Unit cell a=6.3253 b=6.3253 c=11.7238 alpha=112.42 beta=112.42 gamma=43.91
Positions (direct):
1 Ca 0.0095 0.0095 0.3326
2 Ca 0.1859 0.1859 0.1046
3 Ca 0.8141 0.8141 0.8954
4 Ca 0.9905 0.9905 0.6674
5 Cd 0.3650 0.3650 0.4500
6 Cd 0.4619 0.4619 0.1057
7 Cd 0.5381 0.5381 0.8943
8 Cd 0.6350 0.6350 0.5500
9 Pb 0.2846 0.2846 0.6793
10 Pb 0.7154 0.7154 0.3207

DOS(E_F) ... 0.49 states/eV per atom
M_tot ... 0.00 μB per cell



Quick one: most stable of them? model 2



Model 1:
A relaxed structure of CaCdPb4. Source: Alexandria via LeMat-Bulk, functional PBE.

Unit cell a=4.9183 b=4.8458 c=7.8924 alpha=90.00 beta=107.90 gamma=90.00
Positions (direct):
1 Ca 0.0000 0.0000 0.0000
2 Cd 0.1626 0.5000 0.3177
3 Pb 0.3228 0.0000 0.6466
4 Pb 0.4952 0.5000 0.9934
5 Pb 0.6659 0.0000 0.3293
6 Pb 0.8306 0.5000 0.6583

DOS(E_F) ... 0.58 states/eV per atom
M_tot ... 0.00 μB per cell



Model 2:
A relaxed structure of CaCdPb4. Source: Alexandria via LeMat-Bulk, functional PBE.

Unit cell a=6.5119 b=6.5119 c=6.5119 alpha=60.00 beta=60.00 gamma=60.00
Positions (direct):
1 Ca 0.0000 0.0000 0.0000
2 Cd 0.7500 0.7500 0.7500
3 Pb 0.3742 0.3742 0.3742
4 Pb 0.3742 0.3742 0.8773
5 Pb 0.3742 0.8773 0.3742
6 Pb 0.8773 0.3742 0.3742

DOS(E_F) ... 0.43 states/eV per atom
M_tot ... 0.00 μB per cell



Quick one: most stable of them? model 1



Model 1:
A relaxed structure of Ca2CdPb2. Source: Alexandria via LeMat-Bulk, functional PBE.

Unit cell a=6.4597 b=6.4597 c=11.5116 alpha=113.75 beta=113.75 gamma=44.80
Positions (direct):
1 Ca 0.0059 0.0059 0.3272
2 Ca 0.1755 0.1755 0.1009
3 Ca 0.8245 0.8245 0.8991
4 Ca 0.9941 0.9941 0.6728
5 Cd 0.2878 0.2878 0.6791
6 Cd 0.7122 0.7122 0.3209
7 Pb 0.3525 0.3525 0.4416
8 Pb 0.4565 0.4565 0.1104
9 Pb 0.5435 0.5435 0.8896
10 Pb 0.6475 0.6475 0.5584

DOS(E_F) ... 0.44 states/eV per atom
M_tot ... 0.00 μB per cell



Model 2:
A relaxed structure of Ca2CdPb2. Source: Alexandria via LeMat-Bulk, functional PBE.

Unit cell a=8.7602 b=8.7602 c=4.1916 alpha=90.00 beta=90.00 gamma=90.00
Positions (direct):
1 Ca 0.1721 0.3279 0.0000
2 Ca 0.3279 0.8279 0.0000
3 Ca 0.6721 0.1721 0.0000
4 Ca 0.8279 0.6721 0.0000
5 Cd 0.0000 0.0000 0.0000
6 Cd 0.5000 0.5000 0.0000
7 Pb 0.1264 0.6264 0.5000
8 Pb 0.3736 0.1264 0.5000
9 Pb 0.6264 0.8736 0.5000
10 Pb 0.8736 0.3736 0.5000

DOS(E_F) ... 0.51 states/eV per atom
M_tot ... 0.00 μB per cell



Quick one: most stable of them? model 1



Model 1:
A relaxed structure of Ca2CdPb2. Source: Alexandria via LeMat-Bulk, functional PBE.

Unit cell a=8.0344 b=8.0344 c=4.7504 alpha=90.00 beta=90.00 gamma=90.00
Positions (direct):
1 Ca 0.1670 0.3330 0.0000
2 Ca 0.3330 0.8330 0.0000
3 Ca 0.6670 0.1670 0.0000
4 Ca 0.8330 0.6670 0.0000
5 Cd 0.0000 0.0000 0.5000
6 Cd 0.5000 0.5000 0.5000
7 Pb 0.1373 0.6373 0.5000
8 Pb 0.3627 0.1373 0.5000
9 Pb 0.6373 0.8627 0.5000
10 Pb 0.8627 0.3627 0.5000

DOS(E_F) ... 0.64 states/eV per atom
M_tot ... 0.00 μB per cell



Model 2:
A relaxed structure of Ca2CdPb2. Source: Alexandria via LeMat-Bulk, functional PBE.

Unit cell a=4.4037 b=4.4037 c=17.4969 alpha=90.00 beta=90.00 gamma=90.00
Positions (direct):
1 Ca 0.0000 0.0000 0.1010
2 Ca 0.0000 0.0000 0.8990
3 Ca 0.5000 0.5000 0.3990
4 Ca 0.5000 0.5000 0.6010
5 Cd 0.0000 0.0000 0.5000
6 Cd 0.5000 0.5000 0.0000
7 Pb 0.0000 0.5000 0.2500
8 Pb 0.0000 0.5000 0.7500
9 Pb 0.5000 0.0000 0.2500
10 Pb 0.5000 0.0000 0.7500

DOS(E_F) ... 0.67 states/eV per atom
M_tot ... 0.00 μB per cell



Quick one: most stable of them? model 1



Model 1:
A relaxed structure of Ca4CdPb. Source: Alexandria via LeMat-Bulk, functional PBE.

Unit cell a=5.3217 b=5.3217 c=7.8515 alpha=90.00 beta=90.00 gamma=90.00
Positions (direct):
1 Ca 0.0000 0.5000 0.2454
2 Ca 0.0000 0.5000 0.7546
3 Ca 0.5000 0.0000 0.2454
4 Ca 0.5000 0.0000 0.7546
5 Cd 0.0000 0.0000 0.5000
6 Pb 0.5000 0.5000 0.0000

DOS(E_F) ... 1.04 states/eV per atom
M_tot ... 0.00 μB per cell



Model 2:
A relaxed structure of Ca4CdPb. Source: Alexandria via LeMat-Bulk, functional PBE.

Unit cell a=6.7466 b=6.7466 c=6.7466 alpha=60.00 beta=60.00 gamma=60.00
Positions (direct):
1 Ca 0.3756 0.3756 0.3756
2 Ca 0.3756 0.3756 0.8733
3 Ca 0.3756 0.8733 0.3756
4 Ca 0.8733 0.3756 0.3756
5 Cd 0.0000 0.0000 0.0000
6 Pb 0.7500 0.7500 0.7500

DOS(E_F) ... 1.03 states/eV per atom
M_tot ... 0.00 μB per cell



Quick one: most stable of them? model 1



Model 1:
A relaxed structure of Ca2CdPb. Source: Alexandria via LeMat-Bulk, functional PBE.

Unit cell a=7.8152 b=7.8224 c=3.8252 alpha=90.00 beta=90.00 gamma=90.00
Positions (direct):
1 Ca 0.2500 0.2500 0.0000
2 Ca 0.2500 0.7500 0.0000
3 Ca 0.7500 0.2500 0.0000
4 Ca 0.7500 0.7500 0.0000
5 Cd 0.0000 0.0000 0.5000
6 Cd 0.5000 0.5000 0.5000
7 Pb 0.0000 0.5000 0.5000
8 Pb 0.5000 0.0000 0.5000

DOS(E_F) ... 0.50 states/eV per atom
M_tot ... 0.00 μB per cell



Model 2:
A relaxed structure of Ca2CdPb. Source: Alexandria via LeMat-Bulk, functional PBE.

Unit cell a=10.0493 b=3.8017 c=6.7777 alpha=90.00 beta=101.32 gamma=90.00
Positions (direct):
1 Ca 0.2492 0.0000 0.2473
2 Ca 0.2508 0.5000 0.7527
3 Ca 0.7492 0.5000 0.2473
4 Ca 0.7508 0.0000 0.7527
5 Cd 0.0000 0.0000 0.5000
6 Cd 0.5000 0.5000 0.5000
7 Pb 0.0000 0.5000 0.0000
8 Pb 0.5000 0.0000 0.0000

DOS(E_F) ... 0.76 states/eV per atom
M_tot ... 0.00 μB per cell



Model 3:
A relaxed structure of Ca2CdPb. Source: Alexandria via LeMat-Bulk, functional PBE.

Unit cell a=3.8283 b=3.8283 c=31.9370 alpha=90.00 beta=90.00 gamma=120.00
Positions (direct):
1 Ca 0.0000 0.0000 0.0000
2 Ca 0.0000 0.0000 0.2298
3 Ca 0.3333 0.6667 0.6667
4 Ca 0.3333 0.6667 0.8964
5 Ca 0.6667 0.3333 0.3333
6 Ca 0.6667 0.3333 0.5631
7 Cd 0.0000 0.0000 0.7427
8 Cd 0.3333 0.6667 0.4094
9 Cd 0.6667 0.3333 0.0761
10 Pb 0.0000 0.0000 0.4816
11 Pb 0.3333 0.6667 0.1483
12 Pb 0.6667 0.3333 0.8150

DOS(E_F) ... 0.64 states/eV per atom
M_tot ... 0.00 μB per cell



Model 4:
A relaxed structure of Ca2CdPb. Source: Alexandria via LeMat-Bulk, functional PBE.

Unit cell a=12.1996 b=3.6232 c=5.6788 alpha=90.00 beta=106.19 gamma=90.00
Positions (direct):
1 Ca 0.0000 0.0000 0.0000
2 Ca 0.2100 0.0000 0.6306
3 Ca 0.5000 0.5000 0.0000
4 Ca 0.7100 0.5000 0.6306
5 Cd 0.2458 0.5000 0.1407
6 Cd 0.7458 0.0000 0.1407
7 Pb 0.4562 0.0000 0.4757
8 Pb 0.9562 0.5000 0.4757

DOS(E_F) ... 0.52 states/eV per atom
M_tot ... 0.00 μB per cell



Quick one: most stable of them? model 1



Model 1:
A relaxed structure of CaCd4Pb. Source: Alexandria via LeMat-Bulk, functional PBE.

Unit cell a=6.0340 b=6.0340 c=6.0340 alpha=60.00 beta=60.00 gamma=60.00
Positions (direct):
1 Ca 0.0000 0.0000 0.0000
2 Cd 0.3747 0.3747 0.3747
3 Cd 0.3747 0.3747 0.8758
4 Cd 0.3747 0.8758 0.3747
5 Cd 0.8758 0.3747 0.3747
6 Pb 0.7500 0.7500 0.7500

DOS(E_F) ... 0.58 states/eV per atom
M_tot ... 0.00 μB per cell



Model 2:
A relaxed structure of CaCd4Pb. Source: Alexandria via LeMat-Bulk, functional PBE.

Unit cell a=9.6821 b=9.6821 c=5.1193 alpha=90.00 beta=90.00 gamma=140.10
Positions (direct):
1 Ca 0.1246 0.8754 0.7500
2 Ca 0.8754 0.1246 0.2500
3 Cd 0.0375 0.4552 0.7500
4 Cd 0.1974 0.2835 0.7500
5 Cd 0.2835 0.1974 0.2500
6 Cd 0.4552 0.0375 0.2500
7 Cd 0.5448 0.9625 0.7500
8 Cd 0.7165 0.8026 0.7500
9 Cd 0.8026 0.7165 0.2500
10 Cd 0.9625 0.5448 0.2500
11 Pb 0.3820 0.6180 0.2500
12 Pb 0.6180 0.3820 0.7500

DOS(E_F) ... 0.45 states/eV per atom
M_tot ... 0.00 μB per cell



Quick one: most stable of them? model 2



Model 1:
A relaxed structure of CaCdPb3. Source: Alexandria via LeMat-Bulk, functional PBE.

Unit cell a=5.9131 b=5.9131 c=5.9131 alpha=90.00 beta=90.00 gamma=90.00
Positions (direct):
1 Ca 0.0000 0.0000 0.0000
2 Cd 0.5000 0.5000 0.5000
3 Pb 0.0000 0.0000 0.5000
4 Pb 0.0000 0.5000 0.0000
5 Pb 0.5000 0.0000 0.0000

DOS(E_F) ... 1.19 states/eV per atom
M_tot ... 0.00 μB per cell



Model 2:
A relaxed structure of CaCdPb3. Source: Alexandria via LeMat-Bulk, functional PBE.

Unit cell a=3.7984 b=5.0600 c=8.2005 alpha=90.07 beta=90.00 gamma=90.08
Positions (direct):
1 Ca 0.0000 0.0000 0.0000
2 Cd 0.0001 0.4671 0.4989
3 Pb 0.4999 0.4974 0.8068
4 Pb 0.4998 0.4982 0.1924
5 Pb 0.5003 0.9736 0.5012

DOS(E_F) ... 0.33 states/eV per atom
M_tot ... 0.00 μB per cell



Quick one: most stable of them? model 2



Model 1:
A relaxed structure of CaCdPb3. Source: Alexandria via LeMat-Bulk, functional PBE.

Unit cell a=6.4314 b=6.7088 c=7.3561 alpha=90.00 beta=102.29 gamma=90.00
Positions (direct):
1 Ca 0.1527 0.2500 0.2012
2 Ca 0.8473 0.7500 0.7988
3 Cd 0.3931 0.7500 0.0159
4 Cd 0.6069 0.2500 0.9841
5 Pb 0.0702 0.7500 0.2712
6 Pb 0.3317 0.5022 0.6484
7 Pb 0.3317 0.9978 0.6484
8 Pb 0.6683 0.0022 0.3516
9 Pb 0.6683 0.4978 0.3516
10 Pb 0.9298 0.2500 0.7288

DOS(E_F) ... 0.45 states/eV per atom
M_tot ... 0.00 μB per cell



Model 2:
A relaxed structure of CaCdPb3. Source: Alexandria via LeMat-Bulk, functional PBE.

Unit cell a=5.6937 b=5.6937 c=5.6937 alpha=90.00 beta=90.00 gamma=90.00
Positions (direct):
1 Ca 0.0000 0.0000 0.0000
2 Cd 0.5000 0.5000 0.5000
3 Pb 0.0000 0.5000 0.5000
4 Pb 0.5000 0.0000 0.5000
5 Pb 0.5000 0.5000 0.0000

DOS(E_F) ... 0.72 states/eV per atom
M_tot ... 0.00 μB per cell



Quick one: most stable of them? model 1